Crystalline HfAl2C at its relaxed geometry, computed with PBE.

## Properties
ΔE_f, eV/f.u.: 0.4

a b c (Å): 6.9827 6.9827 5.4875
angles (deg): 50.49 50.49 90.00
Sites, in units of the cell vectors:
Al1 0.3750 0.4672 0.7500
Al2 0.2172 0.6250 0.2500
Al3 0.5328 0.1250 0.2500
Al4 0.8750 0.7828 0.7500
Hf1 0.7500 0.2500 0.5000
Hf2 0.0000 0.0000 0.0000
C1 0.2500 0.7500 0.5000
C2 0.5000 0.5000 0.0000



Crystalline Li2HoBiSe4 at its relaxed geometry, computed with PBE.

## Properties
Uncorrected formation energy, eV/atom: -1.21

a b c (Å): 4.0956 6.9694 7.1299
angles (deg): 70.03 90.00 90.00
Sites, in units of the cell vectors:
Se1 0.0000 0.7611 0.7385
Se2 0.5000 0.7538 0.2546
Se3 0.5000 0.2462 0.7454
Se4 0.0000 0.2389 0.2615
Bi1 0.5000 0.5000 0.0000
Li1 0.0000 0.0000 0.0000
Li2 0.5000 0.0000 0.5000
Ho1 0.0000 0.5000 0.5000



Results for magnetization: 0.0, 0.0 (in μB/cell, following the order of the records).